Record 1
{
  "formula": "Ta2Nb4Rh5",
  "functional": "GGA-PBE",
  "state": "optimized geometry",
  "cell": [[-3.014, 3.777, 5.170], [-6.488, 0.736, 2.729], [-0.810, -3.138, 5.062]],
  "species": ["Ta", "Ta", "Nb", "Nb", "Nb", "Nb", "Rh", "Rh", "Rh", "Rh", "Rh"],
  "fractional_positions": [[0.171, 0.171, 0.668], [0.829, 0.829, 0.332], [0.393, 0.393, 0.528], [0.607, 0.607, 0.472], [0.763, 0.763, 0.849], [0.237, 0.237, 0.151], [0.675, 0.186, 0.904], [0.325, 0.814, 0.096], [0.000, 0.000, 0.500], [0.186, 0.675, 0.904], [0.814, 0.325, 0.096]]
}


Record 2
{
  "formula": "TaNbRh",
  "functional": "GGA-PBE",
  "state": "optimized geometry",
  "cell": [[-4.043, 2.200, -0.424], [-0.994, -2.551, -3.764], [-4.086, -2.158, 2.570]],
  "species": ["Ta", "Ta", "Nb", "Nb", "Rh", "Rh"],
  "fractional_positions": [[0.862, 0.103, 0.372], [0.682, 0.608, 0.732], [0.353, 0.608, 0.390], [0.191, 0.103, 0.714], [0.524, 0.118, 0.048], [0.020, 0.593, 0.056]],
  "polymorph_energy_kj_per_mol_fu": 8
}


no.,E_form (eV/f.u.)
1,-2.047
2,-0.676